DFT (GGA+U) results for LiMnPO4 after structural relaxation.

Cell: 6.0227 6.6817 9.6473 Å, 72.49 97.92 100.91°
With the nearest neighbours (Å) after each atom.
Atoms (fractional coordinates):
Li1 0.6013 0.1984 0.2816  3 O 1.91-1.97
Li2 0.3987 0.8016 0.7184  3 O 1.91-1.97
Li3 0.4329 0.3307 0.6806  3 O 1.89-1.90
Li4 0.5671 0.6693 0.3194  3 O 1.89-1.90
Mn1 0.0148 0.9343 0.2832  5 O 2.12-2.25
Mn2 0.7946 0.3545 0.9301  5 O 2.09-2.21
Mn3 0.9852 0.0657 0.7168  5 O 2.12-2.25
Mn4 0.2054 0.6455 0.0699  5 O 2.09-2.21
P1 0.1679 0.2904 0.3871  4 O 1.55-1.57
P2 0.8321 0.7096 0.6129  4 O 1.55-1.57
P3 0.2894 0.1828 0.0123  4 O 1.55-1.56
P4 0.7106 0.8172 0.9877  4 O 1.55-1.56
O1 0.5339 0.2604 0.0689  1 P 1.55
O2 0.4661 0.7396 0.9311  1 P 1.55
O3 0.3135 0.1314 0.3692  1 P 1.56
O4 0.6865 0.8686 0.6308  1 P 1.56
O5 0.9225 0.2189 0.3266  1 P 1.55
O6 0.0775 0.7811 0.6734  1 P 1.55
O7 0.7890 0.0470 0.8898  1 P 1.56
O8 0.2110 0.9530 0.1102  1 P 1.56
O9 0.1288 0.3312 0.0288  1 P 1.56
O10 0.8712 0.6688 0.9712  1 P 1.56
O11 0.1763 0.2846 0.5501  1 P 1.56
O12 0.8237 0.7154 0.4499  1 P 1.56
O13 0.2798 0.1843 0.8506  1 P 1.55
O14 0.7202 0.8157 0.1494  1 P 1.55
O15 0.7333 0.4779 0.6993  1 P 1.57
O16 0.2667 0.5220 0.3007  1 P 1.57

Computed properties:
DOS(E_F) in states/eV per cell: 0.0
Space-group type: P-1 (2)
Total magnetization in μB/f.u.: 5.00
Energy above the lowest structure with this stoichiometry in meV per atom: 55
E in eV per atom: -7.127